The following is a PBE+U calculation of a relaxed structure of Li2CeMnF8, from the Alexandria database.

Calculated values
N(E_F)   0.72 states/eV/atom
V   140.9 Å³ per cell
Calculated density   4.3 g/cm3
Final energy   -66.62 eV per cell
Total moment   3.00 μB/f.u.

```
data_Li2CeMnF8
_chemical_formula_sum 'Li2 Ce1 Mn1 F8'
_symmetry_space_group_name_H-M 'P -3'
_symmetry_Int_Tables_number 147
_symmetry_space_group_name_Hall '-P 3'
_cell_length_a 4.8843
_cell_length_b 4.8843
_cell_length_c 6.8174
_cell_angle_alpha 90.00
_cell_angle_beta 90.00
_cell_angle_gamma 120.00
loop_
_atom_site_label
_atom_site_type_symbol
_atom_site_fract_x
_atom_site_fract_y
_atom_site_fract_z
_atom_site_occupancy
Li1 Li 0.3333 0.6667 0.2127 1
Ce1 Ce 0.0000 0.0000 0.5000 1
Mn1 Mn 0.0000 0.0000 0.0000 1
F1 F 0.0246 0.7176 0.8188 1
F2 F 0.3333 0.6667 0.4814 1
```